SmPaAg | PBE | relaxed

```
SmPaAg
1.0
-0.619 -4.233 -3.147
2.583 -1.003 -3.641
5.195 -6.780 3.617
Ag Sm Pa
2 2 2
Direct
0.179 0.643 0.000
0.821 0.357 0.000
0.401 0.000 0.199
0.599 0.000 0.801
0.750 0.500 0.500
0.250 0.500 0.500
```

Computed properties:
Density in g/cm3: 9.24
DOS at the Fermi energy in states/eV/f.u.: 4.4
Space group: No. 69
Formation energy in eV per atom: 0.50
Total moment in μB per cell: 3.73